--- P ---
Computed, not measured: a relaxed Na3MgCd4 crystal at the PBE level of DFT.

POSCAR file:
```
Na3MgCd4
1.0
-3.131 5.349 3.130
3.131 -5.349 3.130
3.131 5.349 -3.130
Na Mg Cd
3 1 4
Cartesian
0.000 0.000 0.000
3.131 -2.508 1.660
3.131 2.508 1.660
0.000 5.349 2.556
3.131 2.794 -1.385
1.598 5.349 -0.082
1.533 0.000 3.049
0.000 2.554 1.746
```

## Properties
Space-group type ... Imm2 (44)
Total magnetization ... 0.000 μB/atom
Volume ... 26.2 Å³/atom



--- Q ---
Computed, not measured: a relaxed Na3MgCd4 crystal at the PBE level of DFT.

POSCAR file:
```
Na3MgCd4
1.0
3.304 0.000 0.000
-0.037 7.922 0.000
-0.086 -3.906 7.638
Na Mg Cd
3 1 4
Cartesian
0.000 0.000 0.000
-0.069 4.000 4.145
-0.015 3.987 0.652
-0.050 0.044 4.145
1.582 -1.621 6.057
1.597 6.277 2.240
1.621 1.701 2.228
1.570 1.727 6.054
```

## Properties
Space-group type ... P1 (1)
Total magnetization ... 0.000 μB/atom
Volume ... 25.0 Å³/atom



Result of the stability comparison: P is the least stable of them.



--- P ---
Computed, not measured: a relaxed Na2Mg2Cd crystal at the PBE level of DFT.

POSCAR file:
```
Na2Mg2Cd
1.0
-2.071 2.071 8.886
2.071 -2.071 8.886
2.071 2.071 -8.886
Na Mg Cd
2 2 1
Cartesian
0.000 0.000 1.691
0.000 0.000 16.081
2.071 0.000 4.443
0.000 2.071 4.443
0.000 0.000 8.886
```

## Properties
Space-group type ... I4/mmm (139)
Total magnetization ... 0.000 μB/atom
Volume ... 30.5 Å³/atom



--- Q ---
Computed, not measured: a relaxed Na2Mg2Cd crystal at the PBE level of DFT.

POSCAR file:
```
Na2Mg2Cd
1.0
8.316 0.000 0.000
0.000 8.316 0.000
0.000 0.000 4.045
Na Mg Cd
4 4 2
Cartesian
1.191 2.967 0.000
2.967 7.125 0.000
5.348 1.191 0.000
7.125 5.348 0.000
1.300 5.458 2.022
2.857 1.300 2.022
5.458 7.015 2.022
7.015 2.857 2.022
0.000 0.000 0.000
4.158 4.158 0.000
```

## Properties
Space-group type ... P4/mbm (127)
Total magnetization ... 0.000 μB/atom
Volume ... 28.0 Å³/atom



Result of the stability comparison: Q is the least stable of them.



--- P ---
Computed, not measured: a relaxed RbNa2MgCd crystal at the PBE level of DFT.

POSCAR file:
```
RbNa2MgCd
1.0
6.182 0.000 0.000
0.000 6.182 0.000
0.000 0.000 5.519
Rb Na Mg Cd
1 2 1 1
Cartesian
0.000 0.000 0.000
0.000 3.091 2.759
3.091 0.000 2.759
3.091 3.091 2.759
3.091 3.091 0.000
```

## Properties
Space-group type ... P4/mmm (123)
Total magnetization ... 0.000 μB/atom
Volume ... 42.2 Å³/atom



--- Q ---
Computed, not measured: a relaxed RbNa2MgCd crystal at the PBE level of DFT.

POSCAR file:
```
RbNa2MgCd
1.0
6.090 0.000 0.000
0.000 6.090 0.000
0.000 0.000 5.515
Rb Na Mg Cd
1 2 1 1
Cartesian
0.000 0.000 0.000
0.000 3.045 2.758
3.045 0.000 2.758
3.045 3.045 0.000
3.045 3.045 2.758
```

## Properties
Space-group type ... P4/mmm (123)
Total magnetization ... 0.000 μB/atom
Volume ... 40.9 Å³/atom



Result of the stability comparison: P is the least stable of them.



--- P ---
Computed, not measured: a relaxed NaMgCdSn crystal at the PBE level of DFT.

POSCAR file:
```
NaMgCdSn
1.0
0.000 3.626 3.626
3.626 0.000 3.626
3.626 3.626 0.000
Na Mg Cd Sn
1 1 1 1
Cartesian
0.000 0.000 0.000
3.626 3.626 3.626
5.440 5.440 5.440
1.813 1.813 1.813
```

## Properties
Space-group type ... F-43m (216)
Total magnetization ... 0.000 μB/atom
Volume ... 23.8 Å³/atom



--- Q ---
Computed, not measured: a relaxed NaMgCdSn crystal at the PBE level of DFT.

POSCAR file:
```
NaMgCdSn
1.0
4.271 -2.464 0.000
4.271 2.464 0.000
-0.011 0.000 6.228
Na Mg Cd Sn
1 1 1 1
Cartesian
0.000 0.000 0.000
5.694 0.000 3.604
2.845 0.000 2.020
-0.001 0.000 3.133
```

## Properties
Space-group type ... Cm (8)
Total magnetization ... 0.000 μB/atom
Volume ... 32.8 Å³/atom



Result of the stability comparison: Q is the least stable of them.